No. 1
A plane-wave DFT calculation with PBE was carried out for a relaxed Mg2GeI crystal.

Lattice parameters (Å, degrees): 5.1349 5.1349 5.1349 60.00 60.00 60.00
Sites, in units of the cell vectors:
Mg (0.2500, 0.2500, 0.2500)
Mg (0.7500, 0.7500, 0.7500)
Ge (0.0000, 0.0000, 0.0000)
I (0.5000, 0.5000, 0.5000)

- formation energy from raw total energies (kJ/mol of atoms) = 12.4
- mass density (g cm⁻³) = 4.30
- DOS(E_F) (states/eV per cell) = 3.24
- SG = No. 225
- volume (Å³ per atom) = 23.93
- raw total energy (eV/cell) = -8.841
- energy above the most stable polymorph in this dataset (eV/f.u.) = 1.05



No. 2
A plane-wave DFT calculation with PBE was carried out for a relaxed MgGeI2 crystal.

Lattice parameters (Å, degrees): 6.9035 6.9035 6.9035 107.09 107.09 114.35
Sites, in units of the cell vectors:
Mg (0.0000, 0.0000, 0.0000)
Mg (0.7500, 0.2500, 0.5000)
Ge (0.2500, 0.7500, 0.5000)
Ge (0.5000, 0.5000, 0.0000)
I (0.1089, 0.6250, 0.9839)
I (0.3750, 0.3589, 0.4839)
I (0.6411, 0.1250, 0.0161)
I (0.8750, 0.8911, 0.5161)

- formation energy from raw total energies (kJ/mol of atoms) = -2.1
- mass density (g cm⁻³) = 4.62
- DOS(E_F) (states/eV per cell) = 1.72
- SG = No. 122
- volume (Å³ per atom) = 31.49
- raw total energy (eV/cell) = -18.801
- energy above the most stable polymorph in this dataset (eV/f.u.) = 0.00



No. 3
A plane-wave DFT calculation with PBE was carried out for a relaxed MgGe2I crystal.

Lattice parameters (Å, degrees): 8.4236 8.4236 8.4236 137.45 137.45 61.75
Sites, in units of the cell vectors:
Mg (0.0000, 0.0000, 0.0000)
Mg (0.7500, 0.2500, 0.5000)
Ge (0.0777, 0.6250, 0.9527)
Ge (0.3750, 0.3277, 0.4527)
Ge (0.6723, 0.1250, 0.0473)
Ge (0.8750, 0.9223, 0.5473)
I (0.2500, 0.7500, 0.5000)
I (0.5000, 0.5000, 0.0000)

- formation energy from raw total energies (kJ/mol of atoms) = 48.4
- mass density (g cm⁻³) = 3.64
- DOS(E_F) (states/eV per cell) = 13.84
- SG = No. 122
- volume (Å³ per atom) = 33.78
- raw total energy (eV/cell) = -20.747
- energy above the most stable polymorph in this dataset (eV/f.u.) = 0.20



No. 4
A plane-wave DFT calculation with PBE was carried out for a relaxed Mg2GeI crystal.

Lattice parameters (Å, degrees): 7.8020 7.8020 7.8020 129.79 129.79 73.75
Sites, in units of the cell vectors:
Mg (0.0723, 0.6250, 0.9473)
Mg (0.3750, 0.3223, 0.4473)
Mg (0.6777, 0.1250, 0.0527)
Mg (0.8750, 0.9277, 0.5527)
Ge (0.0000, 0.0000, 0.0000)
Ge (0.7500, 0.2500, 0.5000)
I (0.2500, 0.7500, 0.5000)
I (0.5000, 0.5000, 0.0000)

- formation energy from raw total energies (kJ/mol of atoms) = -12.9
- mass density (g cm⁻³) = 3.01
- DOS(E_F) (states/eV per cell) = 0.52
- SG = No. 122
- volume (Å³ per atom) = 34.20
- raw total energy (eV/cell) = -19.787
- energy above the most stable polymorph in this dataset (eV/f.u.) = 0.00



No. 5
A plane-wave DFT calculation with PBE was carried out for a relaxed Mg2MnGeI crystal.

Lattice parameters (Å, degrees): 5.4454 5.4454 4.5604 90.00 90.00 90.00
Sites, in units of the cell vectors:
Mg (0.0000, 0.5000, 0.0000)
Mg (0.5000, 0.0000, 0.0000)
Mn (0.0000, 0.0000, 0.0000)
Ge (0.0000, 0.0000, 0.5000)
I (0.5000, 0.5000, 0.5000)

- formation energy from raw total energies (kJ/mol of atoms) = 22.9
- mass density (g cm⁻³) = 3.72
- DOS(E_F) (states/eV per cell) = 4.38
- SG = No. 123
- volume (Å³ per atom) = 27.05
- raw total energy (eV/cell) = -17.340
- energy above the most stable polymorph in this dataset (eV/f.u.) = 0.00



No. 6
A plane-wave DFT calculation with PBE was carried out for a relaxed Mg2MnGeI crystal.

Lattice parameters (Å, degrees): 5.1073 5.1073 5.9170 90.00 90.00 90.00
Sites, in units of the cell vectors:
Mg (0.0000, 0.5000, 0.0000)
Mg (0.5000, 0.0000, 0.0000)
Mn (0.0000, 0.0000, 0.5000)
Ge (0.5000, 0.5000, 0.0000)
I (0.5000, 0.5000, 0.5000)

- formation energy from raw total energies (kJ/mol of atoms) = 53.8
- mass density (g cm⁻³) = 3.26
- DOS(E_F) (states/eV per cell) = 4.29
- SG = No. 123
- volume (Å³ per atom) = 30.87
- raw total energy (eV/cell) = -15.741
- energy above the most stable polymorph in this dataset (eV/f.u.) = 1.60



No. 7
A plane-wave DFT calculation with PBE was carried out for a relaxed Mg2GeMoI crystal.

Lattice parameters (Å, degrees): 5.3700 5.3700 5.5278 90.00 90.00 90.00
Sites, in units of the cell vectors:
Mg (0.0000, 0.5000, 0.0000)
Mg (0.5000, 0.0000, 0.0000)
Ge (0.0000, 0.0000, 0.5000)
Mo (0.5000, 0.5000, 0.5000)
I (0.0000, 0.0000, 0.0000)

- formation energy from raw total energies (kJ/mol of atoms) = 141.6
- mass density (g cm⁻³) = 3.58
- DOS(E_F) (states/eV per cell) = 3.87
- SG = No. 123
- volume (Å³ per atom) = 31.88
- raw total energy (eV/cell) = -12.852



No. 8
A plane-wave DFT calculation with PBE was carried out for a relaxed MgGeI2N crystal.

Lattice parameters (Å, degrees): 5.9440 5.9440 3.6311 90.00 90.00 90.00
Sites, in units of the cell vectors:
Mg (0.0000, 0.0000, 0.0000)
Ge (0.5000, 0.5000, 0.5000)
I (0.0000, 0.5000, 0.5000)
I (0.5000, 0.0000, 0.5000)
N (0.5000, 0.5000, 0.0000)

- formation energy from raw total energies (kJ/mol of atoms) = 35.4
- mass density (g cm⁻³) = 4.72
- DOS(E_F) (states/eV per cell) = 1.73
- SG = No. 123
- volume (Å³ per atom) = 25.66
- raw total energy (eV/cell) = -15.805
- energy above the most stable polymorph in this dataset (eV/f.u.) = 0.00



| no. | total magnetization (μB/atom) |
| --- | --- |
| 1 | 0.000 |
| 2 | 0.000 |
| 3 | 0.000 |
| 4 | 0.250 |
| 5 | 0.589 |
| 6 | 0.949 |
| 7 | 0.779 |
| 8 | 0.000 |